Compound: Sr2CdP
Source: the Alexandria database
Functional: PBE-GGA
Structure: optimized geometry

Properties
E above lowest polymorph = 0.016 eV per atom
ΔH_f (0 K) = -2.570 eV per formula unit
uncorrected energy = -12.26 eV for the cell shown
density of states at the Fermi level = 3.1 states/eV per cell

Cell lengths 3.905, 3.905, 7.633 Å; angles 90.00, 90.00, 90.00 degrees
Element x y z (fractional)
Sr 0.000 0.000 0.209
Sr 0.000 0.000 0.791
Cd 0.500 0.500 0.500
P 0.500 0.500 0.000